VASP calculation (GGA-PBEsol) on a relaxed YU2S3O2 crystal.

```
data_YU2S3O2
_chemical_formula_sum 'Y2 U4 S6 O4'
_space_group_name_H-M_alt 'I 4/m m m'
_space_group_IT_number 139
_space_group_name_Hall '-I 4 2'
_cell_length_a 3.749
_cell_length_b 3.749
_cell_length_c 20.745
_cell_angle_alpha 90.00
_cell_angle_beta 90.00
_cell_angle_gamma 90.00
loop_
_atom_site_label
_atom_site_type_symbol
_atom_site_fract_x
_atom_site_fract_y
_atom_site_fract_z
_atom_site_occupancy
Y1 Y 0.000 0.000 0.000 1
U1 U 0.000 0.000 0.314 1
S1 S 0.000 0.000 0.130 1
S2 S 0.000 0.000 0.500 1
O1 O 0.000 0.500 0.250 1
```

Summary:
Magnetic moment, μB per formula unit: 4.68
Total energy, eV per atom: -9.15

---

VASP calculation (GGA-PBEsol) on a relaxed Y6UO12 crystal.

```
data_Y6UO12
_chemical_formula_sum 'Y18 U3 O36'
_space_group_name_H-M_alt 'R -3'
_space_group_IT_number 148
_space_group_name_Hall '-R 3'
_cell_length_a 9.8775
_cell_length_b 9.8775
_cell_length_c 9.3158
_cell_angle_alpha 90.00
_cell_angle_beta 90.00
_cell_angle_gamma 120.00
loop_
_atom_site_label
_atom_site_type_symbol
_atom_site_fract_x
_atom_site_fract_y
_atom_site_fract_z
_atom_site_occupancy
Y1 Y 0.0380 0.7864 0.1414 1
U1 U 0.0000 0.0000 0.5000 1
O1 O 0.0306 0.8099 0.8980 1
O2 O 0.0365 0.8396 0.3869 1
```

Summary:
Magnetic moment, μB per formula unit: 0.00
Total energy, eV per atom: -9.71

---

VASP calculation (GGA-PBEsol) on a relaxed Mg2ZnIr crystal.

```
data_Mg2ZnIr
_chemical_formula_sum 'Mg2 Zn1 Ir1'
_space_group_name_H-M_alt 'P m m m'
_space_group_IT_number 47
_cell_length_a 2.983
_cell_length_b 3.752
_cell_length_c 5.623
_cell_angle_alpha 90.00
_cell_angle_beta 90.00
_cell_angle_gamma 90.00
loop_
_space_group_symop_operation_xyz
'x,y,z'
'-x,-y,-z'
'-x,-y,z'
'x,y,-z'
'x,-y,-z'
'-x,y,z'
'-x,y,-z'
'x,-y,z'
loop_
_atom_site_label
_atom_site_type_symbol
_atom_site_fract_x
_atom_site_fract_y
_atom_site_fract_z
_atom_site_occupancy
Mg1 Mg 0.000 0.000 0.235 1
Zn1 Zn 0.500 0.500 0.500 1
Ir1 Ir 0.500 0.500 0.000 1
```

Summary:
Magnetic moment, μB per formula unit: 0.00
Total energy, eV per atom: -3.91